## LiPuSi (PBE)

Data for LiPuSi after structural relaxation.

## Properties
The crystal system is cubic. The calculation puts the total energy at -0.2504 hartree per atom.

Structure (CIF):
```
data_LiPuSi
_chemical_formula_sum 'Li4 Pu4 Si4'
_space_group_name_H-M_alt 'F -4 3 m'
_space_group_IT_number 216
_space_group_name_Hall 'F -4 2 3'
_cell_length_a 6.558
_cell_length_b 6.558
_cell_length_c 6.558
_cell_angle_alpha 90.00
_cell_angle_beta 90.00
_cell_angle_gamma 90.00
loop_
_atom_site_label
_atom_site_type_symbol
_atom_site_fract_x
_atom_site_fract_y
_atom_site_fract_z
Li1 Li 0.000 0.000 0.000
Pu1 Pu 0.250 0.250 0.250
Si1 Si 0.000 0.000 0.500
```


## LiPuSi (PBE)

Data for LiPuSi after structural relaxation.

## Properties
The crystal system is cubic. The calculation puts the total energy at -0.2663 hartree per atom.

Structure (CIF):
```
data_LiPuSi
_chemical_formula_sum 'Li4 Pu4 Si4'
_space_group_name_H-M_alt 'F -4 3 m'
_space_group_IT_number 216
_space_group_name_Hall 'F -4 2 3'
_cell_length_a 6.511
_cell_length_b 6.511
_cell_length_c 6.511
_cell_angle_alpha 90.00
_cell_angle_beta 90.00
_cell_angle_gamma 90.00
loop_
_atom_site_label
_atom_site_type_symbol
_atom_site_fract_x
_atom_site_fract_y
_atom_site_fract_z
Li1 Li 0.000 0.000 0.000
Pu1 Pu 0.000 0.000 0.500
Si1 Si 0.250 0.250 0.250
```